Entry i
4
Lattice="-2.8502 1.8893 -6.7605 -4.5484 -1.1662 -5.9456 -2.6127 1.8856 1.6256" Properties=species:S:1:pos:R:3 comment="ZrTlAs2 (PBE-GGA, optimized geometry)" m_tot_mub_per_fu=0.00 pbc="T T T"
Tl -4.9493 1.5034 -4.6765
Zr -6.7007 1.6735 -7.6883
As -1.0262 0.3044 -0.9971
As -2.3408 0.4318 -3.2588

---

Entry ii
4
Lattice="-1.4108 3.1344 3.8534 -3.1393 -3.0898 2.6947 4.8274 -1.0626 -1.4934" Properties=species:S:1:pos:R:3 comment="ZrTlAs2 (PBE-GGA, optimized geometry)" m_tot_mub_per_fu=0.00 pbc="T T T"
Tl -0.2934 -2.0650 2.2377
As 0.0000 0.0000 0.0000
As -2.2750 0.0223 3.2741
Zr 0.5708 1.0470 2.8170

---

The structure with the most favorable energy is entry i; the runner-up is 34.7 kJ/mol of atoms above it.

---

Entry i
4
Lattice="-0.8999 -3.8928 1.1108 3.3249 -0.2487 1.8222 -0.8427 1.8324 5.7391" Properties=species:S:1:pos:R:3 comment="ZrTlAs2 (PBE-GGA, optimized geometry)" m_tot_mub_per_fu=0.00 pbc="T T T"
As 2.5070 1.4164 6.9951
As -0.0663 -1.2180 3.4191
Zr 0.6738 -0.6234 6.1025
Tl 2.1912 0.4914 3.4975

---

Entry ii
4
Lattice="4.8264 0.0000 0.0000 0.0000 4.8264 0.0000 0.0000 0.0000 3.6156" Properties=species:S:1:pos:R:3 comment="ZrTlAs2 (PBE-GGA, optimized geometry)" m_tot_mub_per_fu=0.00 pbc="T T T"
As 0.0000 0.0000 0.0000
As 2.4132 2.4132 0.0000
Tl 2.4132 0.0000 1.8078
Zr 0.0000 2.4132 1.8078

---

The structure with the most favorable energy is entry i; the runner-up is 19.9 kJ/mol of atoms above it.

---

Entry i
4
Lattice="3.7182 0.0000 0.0000 0.0000 5.0594 0.0000 -1.8591 -2.5297 5.4966" Properties=species:S:1:pos:R:3 comment="Tm3As (PBE-GGA, optimized geometry)" m_tot_mub_per_fu=0.00 pbc="T T T"
Tm 1.8591 2.1089 0.0000
Tm 1.8591 -0.4232 2.2577
Tm 0.0000 2.1065 3.2390
As 0.0000 4.6402 0.0000

---

Entry ii
4
Lattice="-3.7467 0.7087 -0.9079 -1.0248 -0.6434 3.7271 0.9997 7.2381 1.5244" Properties=species:S:1:pos:R:3 comment="Tm3As (PBE-GGA, optimized geometry)" m_tot_mub_per_fu=0.00 pbc="T T T"
As 0.0825 0.5976 0.1259
Tm -0.0702 2.8798 2.5378
Tm -1.1488 5.6001 0.6509
Tm -2.3021 0.6385 1.5372

---

The structure with the most favorable energy is entry i; the runner-up is 11.8 kJ/mol of atoms above it.

---

Entry i
4
Lattice="-1.5189 3.0497 -0.7108 -2.8289 -1.9841 -2.4681 -2.5679 -0.4994 3.3447" Properties=species:S:1:pos:R:3 comment="UV2As (PBE-GGA, optimized geometry)" m_tot_mub_per_fu=0.00 pbc="T T T"
As -3.4579 0.2831 0.0829
V -1.4144 -0.9921 -1.2341
V -1.2840 -0.2497 1.6724
U -0.7595 1.5249 -0.3554

---

Entry ii
4
Lattice="4.4603 0.0000 0.0000 2.2301 3.8627 0.0000 2.2301 1.2876 3.6427" Properties=species:S:1:pos:R:3 comment="UV2As (PBE-GGA, optimized geometry)" m_tot_mub_per_fu=1.08 pbc="T T T"
As 0.0000 0.0000 0.0000
U 4.4603 2.5751 1.8214
V 6.6904 3.8627 2.7320
V 2.2301 1.2876 0.9107

---

The structure with the most favorable energy is entry i; the runner-up is 14.7 kJ/mol of atoms above it.

---

Entry i
4
Lattice="-3.2983 1.7532 -0.1438 -1.8398 -3.6155 -1.8784 -1.0201 -1.5867 4.0531" Properties=species:S:1:pos:R:3 comment="UZnAs2 (PBE-GGA, optimized geometry)" m_tot_mub_per_fu=1.10 pbc="T T T"
Zn -3.0791 -1.7245 1.0154
U -1.6492 0.8766 -0.0719
As -0.5101 -0.7933 2.0265
As -0.9199 -1.8078 -0.9392

---

Entry ii
4
Lattice="3.0698 0.0000 0.0000 1.5349 2.6585 0.0000 1.5349 0.8862 9.8322" Properties=species:S:1:pos:R:3 comment="UZnAs2 (PBE-GGA, optimized geometry)" m_tot_mub_per_fu=2.43 pbc="T T T"
U 0.0000 0.0000 0.0000
As 4.6047 2.6585 2.9374
As 1.5349 0.8862 6.8948
Zn 3.0698 1.7723 4.9161

---

The structure with the most favorable energy is entry i; the runner-up is 74.3 kJ/mol of atoms above it.

---

Entry i
4
Lattice="3.9429 0.0000 0.0000 1.9714 3.4146 0.0000 1.9714 1.1382 6.5757" Properties=species:S:1:pos:R:3 comment="ZrUAs2 (PBE-GGA, optimized geometry)" m_tot_mub_per_fu=2.28 pbc="T T T"
U 3.9429 2.2764 3.2879
Zr 0.0000 0.0000 0.0000
As 1.9714 1.1382 1.5609
As 5.9143 3.4146 5.0149

---

Entry ii
4
Lattice="-1.2487 -3.5365 -0.9343 1.7540 -1.9884 -2.8123 4.5232 -4.6148 3.4279" Properties=species:S:1:pos:R:3 comment="ZrUAs2 (PBE-GGA, optimized geometry)" m_tot_mub_per_fu=2.21 pbc="T T T"
As 1.3088 -2.5679 -0.0241
As 3.3841 -3.8894 2.2046
U 4.8135 -8.2684 0.8802
Zr 2.5595 -5.0987 -0.1108

---

The structure with the most favorable energy is entry i; the runner-up is 11.4 kJ/mol of atoms above it.

---

Entry i
5
Lattice="4.4835 0.0000 0.0000 0.0000 4.4835 0.0000 0.0000 0.0000 4.4835" Properties=species:S:1:pos:R:3 comment="V4As (PBE-GGA, optimized geometry)" m_tot_mub_per_fu=0.38 pbc="T T T"
V 0.0000 2.2418 2.2418
V 2.2418 2.2418 0.0000
V 2.2418 0.0000 2.2418
V 0.0000 0.0000 0.0000
As 2.2418 2.2418 2.2418

---

Entry ii
10
Lattice="-2.1054 0.5024 -4.9871 -3.2708 -0.7354 4.2799 2.3548 5.6795 1.0548" Properties=species:S:1:pos:R:3 comment="V4As (PBE-GGA, optimized geometry)" m_tot_mub_per_fu=0.00 pbc="T T T"
As -0.2349 3.0754 -2.0134
As -1.7036 -0.0738 -0.2241
V -3.9915 0.9224 0.3052
V -2.3817 1.7174 -1.7809
V -0.2510 3.7460 2.1796
V 0.3450 5.4481 -2.4889
V -2.8686 0.0201 2.9020
V -1.7720 2.7740 4.0718
V -1.3343 2.0752 0.9747
V -1.3293 4.4245 -0.2601

---

The structure with the most favorable energy is entry ii; the runner-up is 88.2 kJ/mol of atoms above it.

---

Entry i
28
Lattice="7.1142 -0.0181 0.0000 -6.2992 3.3064 0.0000 0.0000 0.0000 17.8158" Properties=species:S:1:pos:R:3 comment="V4As3 (PBE-GGA, optimized geometry)" m_tot_mub_per_fu=0.00 pbc="T T T"
As -0.6787 1.9134 13.3618
As -2.2408 2.3005 4.4539
As -4.9564 2.9736 15.7368
As 5.0059 0.5044 10.2876
As 5.7714 0.3147 2.0790
As -4.1909 2.7839 7.5282
As 1.4937 1.3749 4.4539
As 5.7714 0.3147 6.8289
As -4.1909 2.7839 1.3797
As 5.0059 0.5044 16.4361
As -4.9564 2.9736 10.9869
As 3.0558 0.9878 13.3618
V -5.5099 3.1108 13.3618
V 2.6741 1.0824 17.3437
V 3.5409 0.8675 2.8793
V 0.8339 1.5384 6.8424
V 0.0000 0.0000 8.9079
V 6.3249 0.1775 4.4539
V 2.6741 1.0824 9.3800
V -2.7259 2.4207 14.9365
V -1.8591 2.2059 0.4721
V -2.7259 2.4207 11.7872
V -0.0190 1.7498 10.9734
V -1.8591 2.2059 8.4358
V -0.0190 1.7498 15.7502
V 3.5409 0.8675 6.0286
V 0.0000 0.0000 0.0000
V 0.8339 1.5384 2.0655

---

Entry ii
14
Lattice="-3.6067 0.2857 6.1560 -1.9355 -2.6320 6.3492 6.2210 3.9196 5.3805" Properties=species:S:1:pos:R:3 comment="V4As3 (PBE-GGA, optimized geometry)" m_tot_mub_per_fu=0.00 pbc="T T T"
V 3.1105 1.9598 2.6902
V 3.7928 2.6489 7.1938
V 0.9173 0.9642 6.6252
V 2.0905 1.8218 9.4281
V 0.0000 0.0000 0.0000
V -3.1141 -1.0756 10.6919
V -0.2386 0.6091 11.2604
V -1.4118 -0.2485 8.4575
As 1.1827 0.9458 4.0524
As -0.5039 0.6275 13.8332
As 4.1681 2.7072 4.8284
As -3.5155 -1.4787 8.0773
As 4.1942 3.0520 9.8083
As -3.4893 -1.1339 13.0572

---

The structure with the most favorable energy is entry i; the runner-up is 1.3 kJ/mol of atoms above it.

---

Entry i
5
Lattice="4.6031 0.0000 0.0000 0.0000 4.6031 0.0000 0.0000 0.0000 4.6031" Properties=species:S:1:pos:R:3 comment="V3AsW (PBE-GGA, optimized geometry)" m_tot_mub_per_fu=0.00 pbc="T T T"
As 2.3015 2.3015 2.3015
V 0.0000 0.0000 2.3015
V 2.3015 0.0000 0.0000
V 0.0000 2.3015 0.0000
W 0.0000 0.0000 0.0000

---

Entry ii
20
Lattice="5.0434 -0.1684 -0.0287 2.3230 4.4797 -0.0287 2.4644 1.4424 12.7876" Properties=species:S:1:pos:R:3 comment="V3AsW (PBE-GGA, optimized geometry)" m_tot_mub_per_fu=0.00 pbc="T T T"
V 2.6879 2.5212 9.0914
V 3.9006 3.2076 11.5805
V 3.4746 1.1088 5.1867
V 7.1428 3.2325 3.6389
V 4.8899 0.2430 1.0883
V 2.2823 0.3877 2.6976
V 7.5485 5.3659 10.0327
V 3.8387 4.8656 7.4821
V 4.9409 5.5106 11.6420
V 6.3561 4.6448 7.5436
V 5.9302 2.5460 1.1498
V 5.9920 0.8880 5.2482
W 4.7773 3.3872 5.1290
W 5.0535 2.3664 7.6013
W 3.3058 2.5260 1.2075
W 6.5250 3.2276 11.5228
As 4.8738 1.5346 3.1682
As 2.5217 -0.0842 -0.0143
As 2.3937 2.9610 6.3795
As 4.9570 4.2190 9.5620

---

Entry iii
5
Lattice="4.3977 0.0000 0.0000 0.0000 4.3977 0.0000 0.0000 0.0000 4.3977" Properties=species:S:1:pos:R:3 comment="V3AsW (PBE-GGA, optimized geometry)" m_tot_mub_per_fu=0.00 pbc="T T T"
W 2.1989 2.1989 2.1989
V 0.0000 0.0000 2.1989
V 0.0000 2.1989 0.0000
V 2.1989 0.0000 0.0000
As 0.0000 0.0000 0.0000

---

The structure with the most favorable energy is entry ii; the runner-up is 90.8 kJ/mol of atoms above it.

---

Entry i
4
Lattice="0.0000 3.1136 3.1136 3.1136 0.0000 3.1136 3.1136 3.1136 0.0000" Properties=species:S:1:pos:R:3 comment="VAs2W (PBE-GGA, optimized geometry)" m_tot_mub_per_fu=1.36 pbc="T T T"
W 3.1136 3.1136 3.1136
V 0.0000 0.0000 0.0000
As 1.5568 1.5568 1.5568
As 4.6704 4.6704 4.6704

---

Entry ii
8
Lattice="-1.0340 5.6259 1.0954 -3.5452 0.2468 -4.6141 -6.5348 1.5356 1.4275" Properties=species:S:1:pos:R:3 comment="VAs2W (PBE-GGA, optimized geometry)" m_tot_mub_per_fu=3.77 pbc="T T T"
V -2.2896 2.9364 -1.7594
V -6.1848 2.3594 -2.4730
W 0.0000 0.0000 0.0000
W -4.9292 5.0489 0.3818
As -8.9221 6.2914 -2.0267
As -6.6041 3.3530 -0.2305
As -3.9746 1.2189 -2.3944
As -2.7272 3.9534 0.4691

---

Entry iii
4
Lattice="2.9218 0.0000 0.0000 1.4609 2.5303 0.0000 1.4609 0.8434 8.8844" Properties=species:S:1:pos:R:3 comment="VAs2W (PBE-GGA, optimized geometry)" m_tot_mub_per_fu=0.00 pbc="T T T"
As 4.3827 2.5303 2.6013
As 1.4609 0.8434 6.2832
V 2.9218 1.6869 4.4422
W 0.0000 0.0000 0.0000

---

The structure with the most favorable energy is entry i; the runner-up is 16.3 kJ/mol of atoms above it.

---

Entry i
5
Lattice="4.7384 0.0000 0.0000 0.0000 4.7384 0.0000 2.3692 2.3692 4.0477" Properties=species:S:1:pos:R:3 comment="YV2As2 (PBE-GGA, optimized geometry)" m_tot_mub_per_fu=0.00 pbc="T T T"
As 2.3692 4.7384 2.0239
As 4.7384 2.3692 2.0239
V 4.7384 4.7384 3.0741
V 2.3692 2.3692 0.9736
Y 0.0000 0.0000 0.0000

---

Entry ii
5
Lattice="-0.1433 2.7400 -2.5976 -3.3416 1.1179 1.3636 1.1818 5.8376 3.3446" Properties=species:S:1:pos:R:3 comment="YV2As2 (PBE-GGA, optimized geometry)" m_tot_mub_per_fu=0.00 pbc="T T T"
As -1.2574 6.8353 1.7837
As -1.0457 2.8602 0.3269
V -0.3520 5.2533 0.0650
V -1.9511 4.4423 2.0456
Y 0.0000 0.0000 0.0000

---

The structure with the most favorable energy is entry ii; the runner-up is 21.3 kJ/mol of atoms above it.